A relaxed RbZnFeS3 crystal, computed with PBE.

The structure in POSCAR format:
```
RbZnFeS3
1.0
-8.356 -3.829 -3.565
1.350 0.236 -3.418
5.703 -13.664 1.308
Fe Rb S Zn
4 4 12 4
direct
0.511 0.250 0.250
0.011 0.250 0.250
0.989 0.750 0.750
0.489 0.750 0.750
0.747 0.750 0.005
0.247 0.750 0.495
0.753 0.250 0.505
0.253 0.250 0.995
0.465 0.750 0.142
0.054 0.750 0.142
0.760 0.250 0.189
0.260 0.250 0.311
0.554 0.750 0.358
0.965 0.750 0.358
0.035 0.250 0.642
0.446 0.250 0.642
0.740 0.750 0.689
0.240 0.750 0.811
0.946 0.250 0.858
0.535 0.250 0.858
0.260 0.750 0.216
0.760 0.750 0.284
0.240 0.250 0.716
0.740 0.250 0.784
```

Properties
Space-group type: Pnma, No. 62
Density: 3.73 g/cm3
E: -4.41 eV/atom